1.
Computed, not measured: a relaxed structure of NaInPd14 at the GGA-PBE level of DFT.

Cell: 5.633 5.633 7.986 Å, 90.00 90.00 90.00°
Positions (direct):
Na  0.375  0.375  0.500
Pd  0.375  0.375  0.000
Pd  0.626  0.124  0.754
Pd  0.124  0.124  0.246
Pd  0.875  0.375  0.500
Pd  0.124  0.124  0.754
Pd  0.375  0.875  0.500
Pd  0.375  0.875  0.000
Pd  0.875  0.375  0.000
Pd  0.626  0.626  0.754
Pd  0.626  0.124  0.246
Pd  0.124  0.626  0.246
Pd  0.124  0.626  0.754
In  0.875  0.875  0.500
Pd  0.875  0.875  0.000
Pd  0.626  0.626  0.246

Summary:
The value obtained for the formation energy is -0.105 eV per atom. The total magnetic moment comes out at 0.001 μB/cell. For the total energy, the calculation gives -78.4 eV/cell. As for the space group: P4/mmm (123).

***

2.
Computed, not measured: a relaxed structure of LaTcBi2Pb at the GGA-PBE level of DFT.

Cell: 5.856 5.128 5.856 Å, 90.00 90.00 90.00°
Last column: magnetic moment on the atom in μB.
Positions (direct):
La  0.500  0.500  0.500  -0.05
Pb  0.000  0.000  0.000  -0.07
Tc  0.000  0.500  0.000  2.07
Bi  0.500  0.000  0.000  -0.01
Bi  0.000  0.000  0.500  -0.01

Summary:
The value obtained for the formation energy is 0.803 eV per atom. The total magnetic moment comes out at 2.161 μB/cell. For the total energy, the calculation gives -22.7 eV/cell. As for the space group: P4/mmm (123).

***

no.,Fermi-level density of states (states/eV per cell)
1,30.96
2,5.39